Entry 1:
! TlC | Alexandria | PBE | relaxed; values from VASP
&SYSTEM
  ibrav = 0, nat = 4, ntyp = 2
/
ATOMIC_SPECIES
Tl 204.38 Tl.upf
C 12.01 C.upf
CELL_PARAMETERS angstrom
5.957 0.000 0.000
0.000 3.411 0.000
0.000 0.000 3.528
ATOMIC_POSITIONS angstrom
Tl 1.489 0.000 0.593
Tl 4.468 0.000 2.935
C 1.489 1.705 2.268
C 4.468 1.705 1.260
! Magnetization: 0.00 μB/cell
! Energy of formation from the pure elements: 2.37 eV per atom
! N(E_F): 0.685 states/eV per atom

Entry 2:
! Ce2Er3Th4 | Alexandria | PBE | relaxed; values from VASP
&SYSTEM
  ibrav = 0, nat = 18, ntyp = 3
/
ATOMIC_SPECIES
Ce 140.12 Ce.upf
Er 167.26 Er.upf
Th 232.04 Th.upf
CELL_PARAMETERS angstrom
6.882 0.000 0.000
-0.140 8.406 0.000
-0.030 -2.085 9.709
ATOMIC_POSITIONS angstrom
Ce -0.042 1.994 3.926
Ce 1.596 -0.254 1.519
Ce 5.117 6.575 8.189
Ce 6.755 4.327 5.782
Er 1.554 7.384 4.705
Er 1.713 4.736 2.547
Er 3.388 2.522 0.375
Er 3.325 3.799 9.334
Er 5.000 1.585 7.162
Er 5.159 -1.063 5.004
Th -0.095 3.803 9.327
Th 1.535 1.533 7.052
Th 1.658 6.640 7.956
Th 3.333 1.896 3.837
Th 3.380 4.425 5.872
Th 5.055 -0.319 1.752
Th 5.178 4.788 2.657
Th 6.808 2.518 0.382
! Magnetization: 1.04 μB/cell
! Energy of formation from the pure elements: 0.14 eV per atom
! N(E_F): 1.987 states/eV per atom

Entry 3:
! NaCaSbPt | Alexandria | PBE | relaxed; values from VASP
&SYSTEM
  ibrav = 0, nat = 16, ntyp = 4
/
ATOMIC_SPECIES
Na 22.99 Na.upf
Ca 40.08 Ca.upf
Sb 121.76 Sb.upf
Pt 195.08 Pt.upf
CELL_PARAMETERS angstrom
6.966 0.000 0.000
0.000 6.966 0.000
0.000 0.000 6.966
ATOMIC_POSITIONS angstrom
Na 0.000 0.000 0.000
Na 0.000 3.483 3.483
Na 3.483 0.000 3.483
Na 3.483 3.483 0.000
Ca 1.741 1.741 1.741
Ca 1.741 5.224 5.224
Ca 5.224 1.741 5.224
Ca 5.224 5.224 1.741
Sb 1.741 1.741 5.224
Sb 1.741 5.224 1.741
Sb 5.224 1.741 1.741
Sb 5.224 5.224 5.224
Pt 0.000 0.000 3.483
Pt 0.000 3.483 0.000
Pt 3.483 0.000 0.000
Pt 3.483 3.483 3.483
! Magnetization: 0.00 μB/cell
! Uncorrected formation energy: -0.618 eV/atom
! N(E_F): 0.166 states/eV per atom

Entry 4:
! TaAgAs2 | Alexandria | PBE | relaxed; values from VASP
&SYSTEM
  ibrav = 0, nat = 12, ntyp = 3
/
ATOMIC_SPECIES
Ta 180.95 Ta.upf
Ag 107.87 Ag.upf
As 74.92 As.upf
CELL_PARAMETERS angstrom
3.286 0.000 0.000
-1.643 2.845 0.000
0.000 0.000 24.833
ATOMIC_POSITIONS angstrom
Ta 0.000 0.000 0.000
Ta 0.000 1.897 16.556
Ta 1.643 0.948 8.278
Ag 0.000 0.000 12.417
Ag 0.000 1.897 4.139
Ag 1.643 0.948 20.694
As 0.000 0.000 6.447
As 0.000 0.000 18.386
As 0.000 1.897 10.109
As 0.000 1.897 23.002
As 1.643 0.948 1.831
As 1.643 0.948 14.725
! Magnetization: 0.00 μB/cell
! Energy of formation from the pure elements: -0.06 eV per atom
! N(E_F): 0.241 states/eV per atom

Entry 5:
! RbLiAl | Alexandria | PBE | relaxed; values from VASP
&SYSTEM
  ibrav = 0, nat = 12, ntyp = 3
/
ATOMIC_SPECIES
Rb 85.47 Rb.upf
Li 6.94 Li.upf
Al 26.98 Al.upf
CELL_PARAMETERS angstrom
7.947 0.000 0.000
0.000 4.570 0.000
-2.620 0.000 12.448
ATOMIC_POSITIONS angstrom
Rb 0.000 0.000 0.000
Rb -1.279 2.285 8.013
Rb 3.973 2.285 0.000
Rb 2.694 0.000 8.013
Li 0.034 0.000 4.466
Li 1.352 2.285 2.727
Li 4.007 2.285 4.466
Li 5.326 0.000 2.727
Al 1.357 2.285 5.304
Al 2.680 0.000 4.327
Al 5.330 0.000 5.304
Al 6.654 2.285 4.327
! Magnetization: 0.00 μB/cell
! Energy of formation from the pure elements: 0.06 eV per atom
! N(E_F): 0.491 states/eV per atom

Entry 6:
! MgCr2Ni | Alexandria | PBE | relaxed; values from VASP
&SYSTEM
  ibrav = 0, nat = 4, ntyp = 3
/
ATOMIC_SPECIES
Mg 24.30 Mg.upf
Cr 52.00 Cr.upf
Ni 58.69 Ni.upf
CELL_PARAMETERS angstrom
2.489 0.000 0.000
0.000 4.209 0.000
0.000 0.000 4.898
ATOMIC_POSITIONS angstrom
Mg 0.000 0.000 0.000
Cr 1.245 2.104 1.349
Cr 1.245 2.104 3.549
Ni 0.000 0.000 2.449
! Magnetization: 0.00 μB/cell
! Energy of formation from the pure elements: 0.38 eV per atom
! N(E_F): 1.344 states/eV per atom

Entry 7:
! YPbS2N | Alexandria | PBE | relaxed; values from VASP
&SYSTEM
  ibrav = 0, nat = 5, ntyp = 4
/
ATOMIC_SPECIES
Y 88.91 Y.upf
Pb 207.20 Pb.upf
S 32.06 S.upf
N 14.01 N.upf
CELL_PARAMETERS angstrom
5.150 0.000 0.000
0.000 5.150 0.000
0.000 0.000 4.187
ATOMIC_POSITIONS angstrom
Y 0.000 0.000 0.000
Pb 2.575 2.575 2.094
S 0.000 2.575 2.094
S 2.575 0.000 2.094
N 2.575 2.575 0.000
! Magnetization: 0.18 μB/cell
! Uncorrected formation energy: 0.186 eV/atom
! N(E_F): 0.565 states/eV per atom

Entry 8:
! BaZr2Cd | Alexandria | PBE | relaxed; values from VASP
&SYSTEM
  ibrav = 0, nat = 8, ntyp = 3
/
ATOMIC_SPECIES
Ba 137.33 Ba.upf
Zr 91.22 Zr.upf
Cd 112.41 Cd.upf
CELL_PARAMETERS angstrom
3.390 0.000 0.000
0.000 5.736 0.000
0.000 0.000 11.384
ATOMIC_POSITIONS angstrom
Ba 0.000 0.000 0.000
Ba 1.695 2.868 5.692
Zr 0.000 0.000 5.651
Zr 0.000 2.868 2.496
Zr 1.695 0.000 8.188
Zr 1.695 2.868 11.343
Cd 0.000 2.868 8.746
Cd 1.695 0.000 3.054
! Magnetization: 0.00 μB/cell
! Energy of formation from the pure elements: 0.43 eV per atom
! N(E_F): 1.351 states/eV per atom

Entry 9:
! TaCuHg2 | Alexandria | PBE | relaxed; values from VASP
&SYSTEM
  ibrav = 0, nat = 4, ntyp = 3
/
ATOMIC_SPECIES
Ta 180.95 Ta.upf
Cu 63.55 Cu.upf
Hg 200.59 Hg.upf
CELL_PARAMETERS angstrom
3.022 0.000 0.000
0.000 3.022 0.000
0.000 0.000 7.872
ATOMIC_POSITIONS angstrom
Ta 0.000 0.000 0.000
Cu 0.000 0.000 3.936
Hg 1.511 1.511 2.119
Hg 1.511 1.511 5.754
! Magnetization: 0.00 μB/cell
! Energy of formation from the pure elements: 0.32 eV per atom
! N(E_F): 0.311 states/eV per atom

Entry 10:
! HoCd2B2O6 | Alexandria | PBE | relaxed; values from VASP
&SYSTEM
  ibrav = 0, nat = 11, ntyp = 4
/
ATOMIC_SPECIES
Ho 164.93 Ho.upf
Cd 112.41 Cd.upf
B 10.81 B.upf
O 16.00 O.upf
CELL_PARAMETERS angstrom
5.171 0.000 0.000
-2.585 4.478 0.000
0.000 0.000 7.017
ATOMIC_POSITIONS angstrom
Ho 0.000 0.000 0.000
Cd 0.000 2.985 2.333
Cd 2.585 1.493 4.684
B 0.000 2.985 5.643
B 2.585 1.493 1.374
O -1.379 3.133 5.646
O 0.562 1.718 5.646
O 1.768 0.372 1.371
O 0.817 4.106 5.646
O 2.024 2.760 1.371
O 3.964 1.345 1.371
! Magnetization: 0.00 μB/cell
! Uncorrected formation energy: -2.149 eV/atom
! N(E_F): 0.237 states/eV per atom

Entry 11:
! BiPtN2F | Alexandria | PBE | relaxed; values from VASP
&SYSTEM
  ibrav = 0, nat = 5, ntyp = 4
/
ATOMIC_SPECIES
Bi 208.98 Bi.upf
Pt 195.08 Pt.upf
N 14.01 N.upf
F 19.00 F.upf
CELL_PARAMETERS angstrom
4.030 0.000 0.000
0.000 4.030 0.000
0.000 0.000 4.305
ATOMIC_POSITIONS angstrom
Bi 0.000 0.000 0.000
Pt 2.015 2.015 2.152
N 0.000 2.015 2.152
N 2.015 0.000 2.152
F 2.015 2.015 0.000
! Magnetization: 0.00 μB/cell
! Uncorrected formation energy: 0.668 eV/atom
! N(E_F): 0.797 states/eV per atom

Entry 12:
! BaLiLuTl | Alexandria | PBE | relaxed; values from VASP
&SYSTEM
  ibrav = 0, nat = 16, ntyp = 4
/
ATOMIC_SPECIES
Ba 137.33 Ba.upf
Li 6.94 Li.upf
Lu 174.97 Lu.upf
Tl 204.38 Tl.upf
CELL_PARAMETERS angstrom
7.982 0.000 0.000
0.000 7.982 0.000
0.000 0.000 7.982
ATOMIC_POSITIONS angstrom
Ba 0.000 0.000 0.000
Ba 0.000 3.991 3.991
Ba 3.991 0.000 3.991
Ba 3.991 3.991 0.000
Li 1.996 1.996 1.996
Li 1.996 5.987 5.987
Li 5.987 1.996 5.987
Li 5.987 5.987 1.996
Lu 0.000 0.000 3.991
Lu 0.000 3.991 0.000
Lu 3.991 0.000 0.000
Lu 3.991 3.991 3.991
Tl 1.996 1.996 5.987
Tl 1.996 5.987 1.996
Tl 5.987 1.996 1.996
Tl 5.987 5.987 5.987
! Magnetization: 0.00 μB/cell
! Energy of formation from the pure elements: -0.04 eV per atom
! N(E_F): 1.025 states/eV per atom

Entry 13:
! Tb2Pr5Sm | Alexandria | PBE | relaxed; values from VASP
&SYSTEM
  ibrav = 0, nat = 16, ntyp = 3
/
ATOMIC_SPECIES
Tb 158.93 Tb.upf
Pr 140.91 Pr.upf
Sm 150.36 Sm.upf
CELL_PARAMETERS angstrom
7.320 0.000 0.000
0.000 14.643 0.000
0.000 0.000 5.188
ATOMIC_POSITIONS angstrom
Tb 1.830 1.820 0.000
Tb 1.830 9.142 0.000
Tb 5.490 5.501 0.000
Tb 5.490 12.823 0.000
Pr 0.000 0.000 2.594
Pr 7.317 3.672 2.594
Pr 0.003 10.971 2.594
Pr 1.822 5.500 0.000
Pr 1.838 12.821 0.000
Pr 3.657 3.650 2.594
Pr 3.660 7.322 2.594
Pr 3.664 10.994 2.594
Pr 5.482 1.822 0.000
Pr 5.498 9.144 0.000
Sm 0.000 7.322 2.594
Sm 3.660 0.000 2.594
! Magnetization: 0.00 μB/cell
! Energy of formation from the pure elements: 0.01 eV per atom
! N(E_F): 1.507 states/eV per atom

Entry 14:
! Li2Ge2Au | Alexandria | PBE | relaxed; values from VASP
&SYSTEM
  ibrav = 0, nat = 10, ntyp = 3
/
ATOMIC_SPECIES
Li 6.94 Li.upf
Ge 72.64 Ge.upf
Au 196.97 Au.upf
CELL_PARAMETERS angstrom
4.246 0.000 0.000
0.000 5.335 0.000
0.000 0.000 8.245
ATOMIC_POSITIONS angstrom
Li 0.000 0.000 1.637
Li 0.000 0.000 6.608
Li 2.123 2.667 2.485
Li 2.123 2.667 5.760
Ge 0.000 1.453 4.123
Ge 0.000 3.882 4.123
Ge 2.123 1.215 0.000
Ge 2.123 4.120 0.000
Au 0.000 2.667 0.000
Au 2.123 0.000 4.123
! Magnetization: 0.00 μB/cell
! Energy of formation from the pure elements: -0.26 eV per atom
! N(E_F): 0.250 states/eV per atom

Entry 15:
! PbWAuCl2 | Alexandria | PBE | relaxed; values from VASP
&SYSTEM
  ibrav = 0, nat = 5, ntyp = 4
/
ATOMIC_SPECIES
Pb 207.20 Pb.upf
W 183.84 W.upf
Au 196.97 Au.upf
Cl 35.45 Cl.upf
CELL_PARAMETERS angstrom
4.835 0.000 0.000
0.000 4.835 0.000
0.000 0.000 6.100
ATOMIC_POSITIONS angstrom
Pb 0.000 0.000 0.000
W 2.417 2.417 0.000
Au 0.000 0.000 3.050
Cl 0.000 2.417 3.050
Cl 2.417 0.000 3.050
! Magnetization: 4.46 μB/cell
! Uncorrected formation energy: 1.173 eV/atom
! N(E_F): 1.234 states/eV per atom

Entry 16:
! CaYHf2Os | Alexandria | PBE | relaxed; values from VASP
&SYSTEM
  ibrav = 0, nat = 5, ntyp = 4
/
ATOMIC_SPECIES
Ca 40.08 Ca.upf
Y 88.91 Y.upf
Hf 178.49 Hf.upf
Os 190.23 Os.upf
CELL_PARAMETERS angstrom
5.043 0.000 0.000
0.000 5.043 0.000
0.000 0.000 4.905
ATOMIC_POSITIONS angstrom
Ca 0.000 0.000 0.000
Y 0.000 0.000 2.453
Hf 0.000 2.522 2.453
Hf 2.522 0.000 2.453
Os 2.522 2.522 0.000
! Magnetization: 0.00 μB/cell
! Energy of formation from the pure elements: 2.06 eV per atom
! N(E_F): 0.983 states/eV per atom

Entry 17:
! LiTm6P2S3 | Alexandria | PBE | relaxed; values from VASP
&SYSTEM
  ibrav = 0, nat = 12, ntyp = 4
/
ATOMIC_SPECIES
Li 6.94 Li.upf
Tm 168.93 Tm.upf
P 30.97 P.upf
S 32.06 S.upf
CELL_PARAMETERS angstrom
8.563 -1.951 0.000
8.563 1.951 0.000
-1.995 0.000 7.618
ATOMIC_POSITIONS angstrom
Li 0.000 0.000 0.000
Tm 1.765 0.000 4.389
Tm 2.772 0.000 0.675
Tm 8.008 0.000 2.033
Tm 7.123 0.000 5.585
Tm 12.359 0.000 6.943
Tm 13.366 0.000 3.230
P 4.414 0.000 5.114
P 10.717 0.000 2.504
S -0.998 0.000 3.809
S 5.347 0.000 1.291
S 9.784 0.000 6.327
! Magnetization: 0.00 μB/cell
! Uncorrected formation energy: -1.444 eV/atom
! N(E_F): 0.411 states/eV per atom

Entry 18:
! Sr2AuSe | Alexandria | PBE | relaxed; values from VASP
&SYSTEM
  ibrav = 0, nat = 8, ntyp = 3
/
ATOMIC_SPECIES
Sr 87.62 Sr.upf
Au 196.97 Au.upf
Se 78.96 Se.upf
CELL_PARAMETERS angstrom
4.397 0.000 0.000
0.000 4.397 0.000
0.000 0.000 12.826
ATOMIC_POSITIONS angstrom
Sr 0.000 0.000 0.000
Sr 0.000 2.199 3.206
Sr 2.199 0.000 9.619
Sr 2.199 2.199 6.413
Au 0.000 2.199 9.619
Au 2.199 0.000 3.206
Se 0.000 0.000 6.413
Se 2.199 2.199 0.000
! Magnetization: 0.00 μB/cell
! Uncorrected formation energy: -1.051 eV/atom
! N(E_F): 0.564 states/eV per atom

Entry 19:
! SrNd4Sm3Te8 | Alexandria | PBE | relaxed; values from VASP
&SYSTEM
  ibrav = 0, nat = 16, ntyp = 4
/
ATOMIC_SPECIES
Sr 87.62 Sr.upf
Nd 144.24 Nd.upf
Sm 150.36 Sm.upf
Te 127.60 Te.upf
CELL_PARAMETERS angstrom
4.496 2.596 7.369
-4.496 2.596 7.369
0.000 -5.192 7.369
ATOMIC_POSITIONS angstrom
Sr 0.000 0.000 0.000
Nd -4.496 0.000 11.053
Nd -2.248 1.298 3.684
Nd 2.248 1.298 3.684
Nd 0.000 0.000 11.053
Sm -2.248 -1.298 7.369
Sm -2.248 1.298 14.737
Sm 0.000 2.596 7.369
Te 0.000 0.000 5.559
Te 0.000 -2.562 9.202
Te -2.219 1.281 9.202
Te -2.219 -1.281 12.904
Te 2.219 1.281 9.202
Te 2.219 -1.281 12.904
Te 0.000 2.562 12.904
Te 0.000 0.000 16.546
! Magnetization: 0.00 μB/cell
! Uncorrected formation energy: -1.430 eV/atom
! N(E_F): 0.611 states/eV per atom

Entry 20:
! Tb6Er5Tm2 | Alexandria | PBE | relaxed; values from VASP
&SYSTEM
  ibrav = 0, nat = 26, ntyp = 3
/
ATOMIC_SPECIES
Tb 158.93 Tb.upf
Er 167.26 Er.upf
Tm 168.93 Tm.upf
CELL_PARAMETERS angstrom
11.511 0.000 0.000
0.000 20.055 0.000
0.000 0.000 3.549
ATOMIC_POSITIONS angstrom
Tb 0.680 1.625 0.000
Tb 0.965 7.380 0.000
Tb 1.974 12.752 1.775
Tb 3.781 2.725 1.775
Tb 4.791 17.408 0.000
Tb 5.076 11.652 0.000
Tb 6.436 8.403 0.000
Tb 6.721 2.647 0.000
Tb 7.730 17.330 1.775
Tb 9.537 7.303 1.775
Tb 10.546 12.675 0.000
Tb 10.831 18.431 0.000
Er 0.000 10.028 1.775
Er 1.050 4.549 1.775
Er 2.281 19.016 1.775
Er 3.474 8.989 1.775
Er 4.705 14.577 1.775
Er 5.756 0.000 1.775
Er 6.806 5.478 1.775
Er 8.037 11.066 1.775
Er 9.230 1.039 1.775
Er 10.461 15.506 1.775
Tm 1.908 15.851 0.000
Tm 3.847 5.824 0.000
Tm 7.664 14.231 0.000
Tm 9.603 4.204 0.000
! Magnetization: 0.00 μB/cell
! Energy of formation from the pure elements: 0.10 eV per atom
! N(E_F): 1.168 states/eV per atom